Record 1
A relaxed structure of KTa, computed with PBE.

Cell: 4.845 4.845 15.837 Å, 75.85 75.85 38.97°
Fractional coordinates of all 6 atoms:
1 K 0.005 0.005 0.968
2 K 0.272 0.272 0.477
3 K 0.640 0.640 0.222
4 Ta 0.639 0.639 0.722
5 Ta 0.942 0.942 0.651
6 Ta 0.335 0.335 0.793

Calculated values
For the formation energy, the calculation gives 0.742 eV per atom. As for the density of states at the Fermi level: 1.09 states/eV/atom. For the size of the total moment, the calculation gives 0.00 μB/cell. Its total energy is -5.733 eV/atom. The energy above the most stable polymorph in this dataset comes out at 0.0 meV per atom.

---

Record 2
A relaxed structure of KTa, computed with PBE.

Cell: 3.401 3.401 12.183 Å, 90.00 90.00 120.00°
Fractional coordinates of all 4 atoms:
1 K 0.000 0.000 0.956
2 K 0.667 0.333 0.294
3 Ta 0.000 0.000 0.551
4 Ta 0.667 0.333 0.699

Calculated values
For the formation energy, the calculation gives 0.941 eV per atom. As for the density of states at the Fermi level: 1.25 states/eV/atom. For the size of the total moment, the calculation gives 0.00 μB/cell. Its total energy is -5.534 eV/atom. The energy above the most stable polymorph in this dataset comes out at 198.9 meV per atom.

---

Record 3
A relaxed structure of KTa, computed with PBE.

Cell: 7.083 7.083 4.256 Å, 90.00 90.00 130.20°
Fractional coordinates of all 4 atoms:
1 K 0.858 0.142 0.750
2 K 0.142 0.858 0.250
3 Ta 0.546 0.454 0.750
4 Ta 0.454 0.546 0.250

Calculated values
For the formation energy, the calculation gives 1.625 eV per atom. As for the density of states at the Fermi level: 1.10 states/eV/atom. For the size of the total moment, the calculation gives 0.00 μB/cell. Its total energy is -4.850 eV/atom. The energy above the most stable polymorph in this dataset comes out at 882.9 meV per atom.

---

Record 4
A relaxed structure of KTa, computed with PBE.

Cell: 2.924 4.680 9.870 Å, 90.00 90.00 90.00°
Fractional coordinates of all 4 atoms:
1 K 0.000 0.000 0.968
2 K 0.000 0.500 0.365
3 Ta 0.500 0.000 0.613
4 Ta 0.500 0.500 0.720

Calculated values
For the formation energy, the calculation gives 1.174 eV per atom. As for the density of states at the Fermi level: 0.74 states/eV/atom. For the size of the total moment, the calculation gives 0.00 μB/cell. Its total energy is -5.301 eV/atom. The energy above the most stable polymorph in this dataset comes out at 431.6 meV per atom.

---

Record 5
A relaxed structure of KTa4, computed with PBE.

Cell: 4.614 4.614 4.614 Å, 90.00 90.00 90.00°
Fractional coordinates of all 5 atoms:
1 K 0.500 0.500 0.500
2 Ta 0.000 0.000 0.000
3 Ta 0.500 0.000 0.500
4 Ta 0.000 0.500 0.500
5 Ta 0.500 0.500 0.000

Calculated values
For the formation energy, the calculation gives 2.865 eV per atom. As for the density of states at the Fermi level: 1.44 states/eV/atom. For the size of the total moment, the calculation gives 0.00 μB/cell. Its total energy is -6.836 eV/atom. The energy above the most stable polymorph in this dataset comes out at 50.0 meV per atom.

---

Record 6
A relaxed structure of KTa, computed with PBE.

Cell: 7.521 7.521 7.521 Å, 157.46 125.49 59.72°
Fractional coordinates of all 4 atoms:
1 K 0.355 0.605 0.250
2 K 0.645 0.395 0.750
3 Ta 0.919 0.169 0.250
4 Ta 0.081 0.831 0.750

Calculated values
For the formation energy, the calculation gives 1.269 eV per atom. As for the density of states at the Fermi level: 1.06 states/eV/atom. For the size of the total moment, the calculation gives 0.00 μB/cell. Its total energy is -5.206 eV/atom. The energy above the most stable polymorph in this dataset comes out at 526.3 meV per atom.

---

Record 7
A relaxed structure of KTa, computed with PBE.

Cell: 6.181 6.181 7.073 Å, 90.00 90.00 120.00°
Fractional coordinates of all 4 atoms:
1 K 0.333 0.667 0.250
2 K 0.667 0.333 0.750
3 Ta 0.333 0.667 0.750
4 Ta 0.667 0.333 0.250

Calculated values
For the formation energy, the calculation gives 3.274 eV per atom. As for the density of states at the Fermi level: 2.93 states/eV/atom. For the size of the total moment, the calculation gives 8.00 μB/cell. Its total energy is -3.202 eV/atom. The energy above the most stable polymorph in this dataset comes out at 2531.2 meV per atom.

---

Record 8
A relaxed structure of KTa3, computed with PBE.

Cell: 5.928 5.928 2.690 Å, 90.00 90.00 117.10°
Fractional coordinates of all 4 atoms:
1 K 0.000 0.000 0.000
2 Ta 0.000 0.500 0.500
3 Ta 0.500 0.000 0.500
4 Ta 0.500 0.500 0.000

Calculated values
For the formation energy, the calculation gives 1.283 eV per atom. As for the density of states at the Fermi level: 1.54 states/eV/atom. For the size of the total moment, the calculation gives 0.00 μB/cell. Its total energy is -7.881 eV/atom. The energy above the most stable polymorph in this dataset comes out at 555.0 meV per atom.

---

Record 9
A relaxed structure of K3Ta, computed with PBE.

Cell: 6.738 6.738 6.738 Å, 128.74 128.74 75.42°
Fractional coordinates of all 4 atoms:
1 K 0.750 0.250 0.500
2 K 0.250 0.750 0.500
3 K 0.500 0.500 0.000
4 Ta 0.000 0.000 0.000

Calculated values
For the formation energy, the calculation gives 1.398 eV per atom. As for the density of states at the Fermi level: 1.39 states/eV/atom. For the size of the total moment, the calculation gives 5.09 μB/cell. Its total energy is -2.389 eV/atom. The energy above the most stable polymorph in this dataset comes out at 618.9 meV per atom.

---

Record 10
A relaxed structure of KTa3, computed with PBE.

Cell: 2.951 4.730 7.707 Å, 90.00 90.00 90.00°
Fractional coordinates of all 4 atoms:
1 K 0.000 0.000 0.041
2 Ta 0.500 0.000 0.508
3 Ta 0.500 0.500 0.706
4 Ta 0.000 0.500 0.411

Calculated values
For the formation energy, the calculation gives 0.966 eV per atom. As for the density of states at the Fermi level: 1.28 states/eV/atom. For the size of the total moment, the calculation gives 0.00 μB/cell. Its total energy is -8.198 eV/atom. The energy above the most stable polymorph in this dataset comes out at 237.8 meV per atom.

---

Record 11
A relaxed structure of KTa, computed with PBE.

Cell: 12.384 12.384 12.384 Å, 15.79 15.79 15.79°
Fractional coordinates of all 4 atoms:
1 K 0.986 0.986 0.986
2 K 0.764 0.764 0.764
3 Ta 0.517 0.517 0.517
4 Ta 0.233 0.233 0.233

Calculated values
For the formation energy, the calculation gives 0.945 eV per atom. As for the density of states at the Fermi level: 0.86 states/eV/atom. For the size of the total moment, the calculation gives 0.00 μB/cell. Its total energy is -5.530 eV/atom. The energy above the most stable polymorph in this dataset comes out at 202.7 meV per atom.

---

Record 12
A relaxed structure of KTa3, computed with PBE.

Cell: 2.931 2.931 11.665 Å, 90.00 90.00 120.00°
Fractional coordinates of all 4 atoms:
1 K 0.000 0.000 0.000
2 Ta 0.000 0.000 0.500
3 Ta 0.667 0.333 0.281
4 Ta 0.667 0.333 0.719

Calculated values
For the formation energy, the calculation gives 0.767 eV per atom. As for the density of states at the Fermi level: 1.72 states/eV/atom. For the size of the total moment, the calculation gives 0.00 μB/cell. Its total energy is -8.397 eV/atom. The energy above the most stable polymorph in this dataset comes out at 38.6 meV per atom.

---

Record 13
A relaxed structure of K3Ta, computed with PBE.

Cell: 3.405 3.405 14.658 Å, 90.00 90.00 120.00°
Fractional coordinates of all 4 atoms:
1 K 0.000 0.000 0.960
2 K 0.000 0.000 0.540
3 K 0.667 0.333 0.250
4 Ta 0.667 0.333 0.750

Calculated values
For the formation energy, the calculation gives 1.160 eV per atom. As for the density of states at the Fermi level: 1.21 states/eV/atom. For the size of the total moment, the calculation gives 0.87 μB/cell. Its total energy is -2.626 eV/atom. The energy above the most stable polymorph in this dataset comes out at 381.7 meV per atom.

---

Record 14
A relaxed structure of KTa, computed with PBE.

Cell: 2.965 2.965 13.253 Å, 90.00 90.00 120.00°
Fractional coordinates of all 4 atoms:
1 K 0.333 0.667 0.059
2 K 0.667 0.333 0.559
3 Ta 0.333 0.667 0.312
4 Ta 0.667 0.333 0.812

Calculated values
For the formation energy, the calculation gives 1.323 eV per atom. As for the density of states at the Fermi level: 1.08 states/eV/atom. For the size of the total moment, the calculation gives 0.00 μB/cell. Its total energy is -5.152 eV/atom. The energy above the most stable polymorph in this dataset comes out at 580.6 meV per atom.

---

Record 15
A relaxed structure of KTa3, computed with PBE.

Cell: 4.373 4.373 4.373 Å, 90.00 90.00 90.00°
Fractional coordinates of all 4 atoms:
1 K 0.000 0.000 0.000
2 Ta 0.000 0.500 0.500
3 Ta 0.500 0.000 0.500
4 Ta 0.500 0.500 0.000

Calculated values
For the formation energy, the calculation gives 1.617 eV per atom. As for the density of states at the Fermi level: 1.65 states/eV/atom. For the size of the total moment, the calculation gives 0.00 μB/cell. Its total energy is -7.547 eV/atom. The energy above the most stable polymorph in this dataset comes out at 889.0 meV per atom.

---

Record 16
A relaxed structure of KTa, computed with PBE.

Cell: 14.635 14.635 2.914 Å, 90.00 90.00 90.00°
Fractional coordinates of all 16 atoms:
1 K 0.723 0.723 0.500
2 K 0.723 0.277 0.500
3 K 0.277 0.723 0.500
4 K 0.277 0.277 0.500
5 K 0.641 0.000 0.000
6 K 0.359 0.000 0.000
7 K 0.000 0.359 0.000
8 K 0.000 0.641 0.000
9 Ta 0.795 0.500 0.500
10 Ta 0.205 0.500 0.500
11 Ta 0.500 0.205 0.500
12 Ta 0.500 0.795 0.500
13 Ta 0.640 0.500 0.000
14 Ta 0.360 0.500 0.000
15 Ta 0.500 0.360 0.000
16 Ta 0.500 0.640 0.000

Calculated values
For the formation energy, the calculation gives 1.092 eV per atom. As for the density of states at the Fermi level: 0.91 states/eV/atom. For the size of the total moment, the calculation gives 0.00 μB/cell. Its total energy is -5.383 eV/atom. The energy above the most stable polymorph in this dataset comes out at 350.0 meV per atom.

---

Record 17
A relaxed structure of KTa4, computed with PBE.

Cell: 5.251 5.251 5.251 Å, 109.47 109.47 109.47°
Fractional coordinates of all 5 atoms:
1 K 0.000 0.000 0.000
2 Ta 0.500 0.000 0.000
3 Ta 0.500 0.500 0.500
4 Ta 0.000 0.500 0.000
5 Ta 0.000 0.000 0.500

Calculated values
For the formation energy, the calculation gives 2.815 eV per atom. As for the density of states at the Fermi level: 1.18 states/eV/atom. For the size of the total moment, the calculation gives 0.00 μB/cell. Its total energy is -6.886 eV/atom. The energy above the most stable polymorph in this dataset comes out at 0.0 meV per atom.

---

Record 18
A relaxed structure of KTa3, computed with PBE.

Cell: 4.713 5.716 8.559 Å, 90.00 90.00 90.00°
Fractional coordinates of all 8 atoms:
1 K 0.000 0.000 0.564
2 K 0.500 0.500 0.436
3 Ta 0.500 0.000 0.163
4 Ta 0.000 0.500 0.837
5 Ta 0.000 0.746 0.099
6 Ta 0.000 0.254 0.099
7 Ta 0.500 0.246 0.901
8 Ta 0.500 0.754 0.901

Calculated values
For the formation energy, the calculation gives 0.972 eV per atom. As for the density of states at the Fermi level: 0.98 states/eV/atom. For the size of the total moment, the calculation gives 0.00 μB/cell. Its total energy is -8.192 eV/atom. The energy above the most stable polymorph in this dataset comes out at 243.7 meV per atom.

---

Record 19
A relaxed structure of KTa, computed with PBE.

Cell: 15.672 3.243 8.794 Å, 90.00 90.00 90.00°
Fractional coordinates of all 12 atoms:
1 K 0.776 0.501 0.726
2 K 0.724 0.499 0.226
3 K 0.224 0.501 0.726
4 K 0.276 0.499 0.226
5 K 0.000 0.525 0.061
6 K 0.500 0.475 0.561
7 Ta 0.919 0.015 0.431
8 Ta 0.581 0.985 0.931
9 Ta 0.081 0.015 0.431
10 Ta 0.419 0.985 0.931
11 Ta 0.000 0.515 0.627
12 Ta 0.500 0.485 0.127

Calculated values
For the formation energy, the calculation gives 0.995 eV per atom. As for the density of states at the Fermi level: 1.03 states/eV/atom. For the size of the total moment, the calculation gives 0.00 μB/cell. Its total energy is -5.480 eV/atom. The energy above the most stable polymorph in this dataset comes out at 252.9 meV per atom.

---

Record 20
A relaxed structure of K3Ta, computed with PBE.

Cell: 3.038 6.428 7.914 Å, 90.00 90.00 90.00°
Fractional coordinates of all 4 atoms:
1 K 0.500 0.500 0.783
2 K 0.000 0.000 0.500
3 K 0.500 0.500 0.217
4 Ta 0.000 0.000 0.000

Calculated values
For the formation energy, the calculation gives 1.259 eV per atom. As for the density of states at the Fermi level: 1.04 states/eV/atom. For the size of the total moment, the calculation gives 1.08 μB/cell. Its total energy is -2.527 eV/atom. The energy above the most stable polymorph in this dataset comes out at 480.4 meV per atom.